Record 1
First-principles (PBE-GGA) data for a geometry-optimized AcNdGa2Pd2 structure, as listed in Alexandria.

Values from the calculation:
magnetic moment = 0.00 μB per cell
DOS at the Fermi energy = 0.69 states/eV per atom
calculated total energy = -30.08 eV per formula unit
formation energy = -0.7933 eV per atom
V = 23.16 A^3/atom

CIF file:
```
data_AcNdGa2Pd2
_chemical_formula_sum 'Ac1 Nd1 Ga2 Pd2'
_cell_length_a 4.594
_cell_length_b 4.594
_cell_length_c 7.601
_cell_angle_alpha 90.00
_cell_angle_beta 90.00
_cell_angle_gamma 120.00
_symmetry_space_group_name_H-M 'P 1'
_symmetry_Int_Tables_number 1
_symmetry_space_group_name_Hall 'P 1'
loop_
_atom_site_label
_atom_site_type_symbol
_atom_site_fract_x
_atom_site_fract_y
_atom_site_fract_z
_atom_site_occupancy
Nd1 Nd 0.000 0.000 0.500 1
Ga1 Ga 0.667 0.333 0.721 1
Pd1 Pd 0.667 0.333 0.271 1
Pd2 Pd 0.333 0.667 0.729 1
Ac1 Ac 0.000 0.000 0.000 1
Ga2 Ga 0.333 0.667 0.279 1
```

=====

Record 2
First-principles (PBE-GGA) data for a geometry-optimized Th2GaAu structure, as listed in Alexandria.

Values from the calculation:
magnetic moment = 0.00 μB per cell
DOS at the Fermi energy = 1.04 states/eV per atom
calculated total energy = -21.01 eV per formula unit
formation energy = 0.0344 eV per atom
V = 28.61 A^3/atom

CIF file:
```
data_Th2GaAu
_chemical_formula_sum 'Th2 Ga1 Au1'
_cell_length_a 3.446
_cell_length_b 3.446
_cell_length_c 11.300
_cell_angle_alpha 81.23
_cell_angle_beta 81.23
_cell_angle_gamma 60.00
_symmetry_space_group_name_H-M 'P 1'
_symmetry_Int_Tables_number 1
_symmetry_space_group_name_Hall 'P 1'
loop_
_atom_site_label
_atom_site_type_symbol
_atom_site_fract_x
_atom_site_fract_y
_atom_site_fract_z
_atom_site_occupancy
Th1 Th 0.094 0.094 0.719 1
Au1 Au 0.500 0.500 0.500 1
Ga1 Ga 0.000 0.000 0.000 1
Th2 Th 0.906 0.906 0.281 1
```

=====

Record 3
First-principles (PBE-GGA) data for a geometry-optimized CaMgGaSn structure, as listed in Alexandria.

Values from the calculation:
magnetic moment = 0.00 μB per cell
DOS at the Fermi energy = 0.42 states/eV per atom
calculated total energy = -11.91 eV per formula unit
formation energy = -0.3219 eV per atom
V = 24.15 A^3/atom

CIF file:
```
data_CaMgGaSn
_chemical_formula_sum 'Ca1 Mg1 Ga1 Sn1'
_cell_length_a 5.150
_cell_length_b 5.150
_cell_length_c 5.150
_cell_angle_alpha 60.00
_cell_angle_beta 60.00
_cell_angle_gamma 60.00
_symmetry_space_group_name_H-M 'P 1'
_symmetry_Int_Tables_number 1
_symmetry_space_group_name_Hall 'P 1'
loop_
_atom_site_label
_atom_site_type_symbol
_atom_site_fract_x
_atom_site_fract_y
_atom_site_fract_z
_atom_site_occupancy
Ca1 Ca 0.750 0.750 0.750 1
Mg1 Mg 0.250 0.250 0.250 1
Ga1 Ga 0.500 0.500 0.500 1
Sn1 Sn 0.000 0.000 0.000 1
```

=====

Record 4
First-principles (PBE-GGA) data for a geometry-optimized SrEuZnSb structure, as listed in Alexandria.

Values from the calculation:
magnetic moment = 7.64 μB per cell
DOS at the Fermi energy = 0.90 states/eV per atom
calculated total energy = -19.73 eV per formula unit
raw formation energy = -0.59 eV per atom
V = 30.34 A^3/atom

CIF file:
```
data_SrEuZnSb
_chemical_formula_sum 'Sr1 Eu1 Zn1 Sb1'
_cell_length_a 5.557
_cell_length_b 5.557
_cell_length_c 5.557
_cell_angle_alpha 60.00
_cell_angle_beta 60.00
_cell_angle_gamma 60.00
_symmetry_space_group_name_H-M 'P 1'
_symmetry_Int_Tables_number 1
_symmetry_space_group_name_Hall 'P 1'
loop_
_atom_site_label
_atom_site_type_symbol
_atom_site_fract_x
_atom_site_fract_y
_atom_site_fract_z
_atom_site_occupancy
Eu1 Eu 0.750 0.750 0.750 1
Sb1 Sb 0.500 0.500 0.500 1
Zn1 Zn 0.000 0.000 0.000 1
Sr1 Sr 0.250 0.250 0.250 1
```

=====

Record 5
First-principles (PBE-GGA) data for a geometry-optimized Dy8NiSb2 structure, as listed in Alexandria.

Values from the calculation:
magnetic moment = 0.00 μB per cell
DOS at the Fermi energy = 1.09 states/eV per atom
calculated total energy = -55.59 eV per formula unit
raw formation energy = -0.43 eV per atom
V = 28.14 A^3/atom

CIF file:
```
data_Dy8NiSb2
_chemical_formula_sum 'Dy8 Ni1 Sb2'
_cell_length_a 4.586
_cell_length_b 7.341
_cell_length_c 9.549
_cell_angle_alpha 97.00
_cell_angle_beta 103.89
_cell_angle_gamma 90.00
_symmetry_space_group_name_H-M 'P 1'
_symmetry_Int_Tables_number 1
_symmetry_space_group_name_Hall 'P 1'
loop_
_atom_site_label
_atom_site_type_symbol
_atom_site_fract_x
_atom_site_fract_y
_atom_site_fract_z
_atom_site_occupancy
Ni1 Ni 0.500 0.000 0.000 1
Sb1 Sb 0.818 0.226 0.635 1
Dy1 Dy 0.002 0.780 0.003 1
Dy2 Dy 0.786 0.651 0.572 1
Sb2 Sb 0.182 0.774 0.365 1
Dy3 Dy 0.642 0.036 0.284 1
Dy4 Dy 0.358 0.964 0.716 1
Dy5 Dy 0.998 0.220 0.997 1
Dy6 Dy 0.595 0.518 0.190 1
Dy7 Dy 0.405 0.482 0.810 1
Dy8 Dy 0.214 0.349 0.428 1
```

=====

Record 6
First-principles (PBE-GGA) data for a geometry-optimized Na3AcBi2Te6 structure, as listed in Alexandria.

Values from the calculation:
magnetic moment = 0.00 μB per cell
DOS at the Fermi energy = 0.00 states/eV per atom
calculated total energy = -44.54 eV per formula unit
raw formation energy = -0.82 eV per atom
V = 34.94 A^3/atom

CIF file:
```
data_Na3AcBi2Te6
_chemical_formula_sum 'Na3 Ac1 Bi2 Te6'
_cell_length_a 7.966
_cell_length_b 7.966
_cell_length_c 8.085
_cell_angle_alpha 99.45
_cell_angle_beta 99.45
_cell_angle_gamma 120.07
_symmetry_space_group_name_H-M 'P 1'
_symmetry_Int_Tables_number 1
_symmetry_space_group_name_Hall 'P 1'
loop_
_atom_site_label
_atom_site_type_symbol
_atom_site_fract_x
_atom_site_fract_y
_atom_site_fract_z
_atom_site_occupancy
Bi1 Bi 0.667 0.333 0.000 1
Te1 Te 0.571 0.920 0.760 1
Te2 Te 0.733 0.733 0.243 1
Bi2 Bi 0.333 0.667 0.000 1
Na1 Na 0.166 0.834 0.500 1
Na2 Na 0.834 0.166 0.500 1
Te3 Te 0.920 0.571 0.760 1
Te4 Te 0.429 0.080 0.240 1
Ac1 Ac 0.000 0.000 0.000 1
Na3 Na 0.500 0.500 0.500 1
Te5 Te 0.267 0.267 0.757 1
Te6 Te 0.080 0.429 0.240 1
```

=====

Record 7
First-principles (PBE-GGA) data for a geometry-optimized La3HgN structure, as listed in Alexandria.

Values from the calculation:
magnetic moment = 0.00 μB per cell
DOS at the Fermi energy = 0.74 states/eV per atom
calculated total energy = -27.10 eV per formula unit
raw formation energy = -0.74 eV per atom
V = 26.57 A^3/atom

CIF file:
```
data_La3HgN
_chemical_formula_sum 'La6 Hg2 N2'
_cell_length_a 7.462
_cell_length_b 5.068
_cell_length_c 7.026
_cell_angle_alpha 90.00
_cell_angle_beta 90.04
_cell_angle_gamma 90.00
_symmetry_space_group_name_H-M 'P 1'
_symmetry_Int_Tables_number 1
_symmetry_space_group_name_Hall 'P 1'
loop_
_atom_site_label
_atom_site_type_symbol
_atom_site_fract_x
_atom_site_fract_y
_atom_site_fract_z
_atom_site_occupancy
Hg1 Hg 0.025 0.750 0.201 1
La1 La 0.525 0.750 0.699 1
La2 La 0.025 0.750 0.701 1
N1 N 0.025 0.250 0.700 1
Hg2 Hg 0.525 0.750 0.200 1
La3 La 0.274 0.250 0.449 1
N2 N 0.525 0.250 0.700 1
La4 La 0.775 0.250 0.951 1
La5 La 0.775 0.250 0.449 1
La6 La 0.275 0.250 0.951 1
```

=====

Record 8
First-principles (PBE-GGA) data for a geometry-optimized La2Ho2Te7 structure, as listed in Alexandria.

Values from the calculation:
magnetic moment = 0.00 μB per cell
DOS at the Fermi energy = 0.47 states/eV per atom
calculated total energy = -55.25 eV per formula unit
raw formation energy = -1.30 eV per atom
V = 31.82 A^3/atom

CIF file:
```
data_La2Ho2Te7
_chemical_formula_sum 'La2 Ho2 Te7'
_cell_length_a 4.379
_cell_length_b 9.706
_cell_length_c 9.706
_cell_angle_alpha 61.56
_cell_angle_beta 76.96
_cell_angle_gamma 76.96
_symmetry_space_group_name_H-M 'P 1'
_symmetry_Int_Tables_number 1
_symmetry_space_group_name_Hall 'P 1'
loop_
_atom_site_label
_atom_site_type_symbol
_atom_site_fract_x
_atom_site_fract_y
_atom_site_fract_z
_atom_site_occupancy
Te1 Te 0.137 0.149 0.577 1
Te2 Te 0.606 0.495 0.293 1
La1 La 0.742 0.855 0.661 1
Te3 Te 0.863 0.423 0.851 1
Ho1 Ho 0.000 0.769 0.231 1
La2 La 0.258 0.339 0.145 1
Te4 Te 0.500 0.000 0.000 1
Te5 Te 0.827 0.068 0.277 1
Te6 Te 0.394 0.707 0.505 1
Ho2 Ho 0.500 0.326 0.674 1
Te7 Te 0.173 0.723 0.932 1
```